1.
The following is a DFT calculation (PBE-GGA) of a geometry-optimized Sm2NpS3 structure.

Computed properties:
Total DFT energy (no corrections)   -7.602 eV/atom
Formation energy without anion corrections   -1808.0 meV per atom

Lattice parameters (Å, degrees): 6.891 11.937 6.879 90.00 109.46 90.00
Space group C2/m (No. 12)
Asymmetric unit:
1 Sm 0.000 0.000 0.000 [2 per cell]
2 Sm 0.000 0.164 0.500 [4 per cell]
3 Sm 0.000 0.500 0.500 [2 per cell]
4 Np 0.000 0.333 0.000 [4 per cell]
5 S 0.242 0.500 0.243 [4 per cell]
6 S 0.249 0.331 0.755 [8 per cell]

=====

2.
The following is a DFT calculation (PBE-GGA) of a geometry-optimized ZrMn3 structure.

Computed properties:
Total DFT energy (no corrections)   -8.693 eV/atom
ΔE_f   321.5 meV per atom

Lattice parameters (Å, degrees): 8.3006 8.3006 2.7231 90.00 90.00 120.00
Space group R-3m (No. 166, hexagonal axes)
Asymmetric unit:
1 Zr 0.0000 0.0000 0.0000 [3 per cell]
2 Mn 0.0000 0.5000 0.0000 [9 per cell]